The following is a DFT calculation (PBE-GGA) of an optimized crystal structure of Cs2DyTlBr6.

For the spin magnetization, the calculation gives 0.00 Bohr magnetons per cell. As for the formation energy (no corrections): -163.22 kJ per mole of atoms.

The structure belongs to space group P2_1/c (No. 14); the cell edges are 8.265, 8.620 and 14.461 Å and the angles 90.00°, 124.71° and 90.00°. The asymmetric unit holds Cs at (0.231, 0.063, 0.250), Dy at (0.500, 0.000, 0.000), Tl at (0.000, 0.000, 0.500), Br at (0.183, 0.183, 0.960), Br at (0.277, 0.728, 0.956) and Br at (0.353, 0.020, 0.771).